VASP calculation (PBE-GGA) on a relaxed structure of KZrTe2.

Properties
V: 119.9 Å³/cell
Formation energy without anion corrections: -0.567 eV/atom
Magnetic moment: 0.000 μB per atom
DFT total energy: -4.549 eV per atom

CIF file:
```
data_KZrTe2
_chemical_formula_sum 'K1 Zr1 Te2'
_space_group_name_H-M_alt 'P 4 m m'
_space_group_IT_number 99
_space_group_name_Hall 'P 4 -2'
_cell_length_a 4.433
_cell_length_b 4.433
_cell_length_c 6.101
_cell_angle_alpha 90.00
_cell_angle_beta 90.00
_cell_angle_gamma 90.00
loop_
_atom_site_label
_atom_site_fract_x
_atom_site_fract_y
_atom_site_fract_z
K1 0.000 0.000 0.000
Zr1 0.500 0.500 0.499
Te1 0.000 0.000 0.500
Te2 0.500 0.500 0.999
```

***

VASP calculation (PBE-GGA) on a relaxed structure of KZrTe2.

Properties
V: 146.2 Å³/cell
Formation energy without anion corrections: -0.670 eV/atom
Magnetic moment: 0.000 μB per atom
DFT total energy: -4.652 eV per atom

CIF file:
```
data_KZrTe2
_chemical_formula_sum 'K1 Zr1 Te2'
_space_group_name_H-M_alt 'P 4 m m'
_space_group_IT_number 99
_space_group_name_Hall 'P 4 -2'
_cell_length_a 4.055
_cell_length_b 4.055
_cell_length_c 8.890
_cell_angle_alpha 90.00
_cell_angle_beta 90.00
_cell_angle_gamma 90.00
loop_
_atom_site_label
_atom_site_fract_x
_atom_site_fract_y
_atom_site_fract_z
K1 0.000 0.000 0.000
Zr1 0.500 0.500 0.503
Te1 0.000 0.000 0.605
Te2 0.500 0.500 0.204
```

***

VASP calculation (PBE-GGA) on a relaxed structure of K2ZrTe.

Properties
V: 372.3 Å³/cell
Formation energy without anion corrections: -0.058 eV/atom
Magnetic moment: 0.590 μB per atom
DFT total energy: -3.529 eV per atom

CIF file:
```
data_K2ZrTe
_chemical_formula_sum 'K4 Zr2 Te2'
_space_group_name_H-M_alt 'C 1 m 1'
_space_group_IT_number 8
_space_group_name_Hall 'C -2y'
_cell_length_a 9.969
_cell_length_b 3.959
_cell_length_c 9.788
_cell_angle_alpha 90.00
_cell_angle_beta 105.51
_cell_angle_gamma 90.00
loop_
_atom_site_label
_atom_site_fract_x
_atom_site_fract_y
_atom_site_fract_z
K1 0.000 0.000 0.000
K2 0.159 0.000 0.605
Zr1 0.284 0.500 0.302
Te1 0.493 0.000 0.302
```

***

VASP calculation (PBE-GGA) on a relaxed structure of K3ZrTe3.

Properties
V: 1158.3 Å³/cell
Formation energy without anion corrections: -0.982 eV/atom
Magnetic moment: 0.000 μB per atom
DFT total energy: -4.020 eV per atom

CIF file:
```
data_K3ZrTe3
_chemical_formula_sum 'K12 Zr4 Te12'
_space_group_name_H-M_alt 'P 1 21/c 1'
_space_group_IT_number 14
_space_group_name_Hall '-P 2ybc'
_cell_length_a 8.871
_cell_length_b 14.371
_cell_length_c 11.509
_cell_angle_alpha 90.00
_cell_angle_beta 127.87
_cell_angle_gamma 90.00
loop_
_atom_site_label
_atom_site_fract_x
_atom_site_fract_y
_atom_site_fract_z
K1 0.096 0.138 0.473
K2 0.142 0.066 0.904
K3 0.388 0.687 0.585
Zr1 0.442 0.051 0.353
Te1 0.125 0.169 0.180
Te2 0.330 0.631 0.861
Te3 0.359 0.536 0.262
```